[1]
The following is a PBE calculation of a geometry-optimized Pm2Er2Al structure, from Alexandria via LeMat-Bulk.

Cell and atoms, written as CIF:
```
data_Pm2Er2Al
_chemical_formula_sum 'Pm4 Er4 Al2'
_space_group_name_H-M_alt 'P 63/m m c'
_space_group_IT_number 194
_space_group_name_Hall '-P 6c 2c'
_cell_length_a 5.3665
_cell_length_b 5.3665
_cell_length_c 11.9211
_cell_angle_alpha 90.00
_cell_angle_beta 90.00
_cell_angle_gamma 120.00
loop_
_atom_site_label
_atom_site_fract_x
_atom_site_fract_y
_atom_site_fract_z
Pm1 0.3333 0.6667 0.0930
Er1 0.0000 0.0000 0.0000
Er2 0.3333 0.6667 0.7500
Al1 0.0000 0.0000 0.2500
```

Computed properties:
V: 297.3 Å³ per cell
energy of formation from the pure elements: 0.0036 eV per atom
density: 7.3 g cm⁻³

[2]
The following is a PBE calculation of a geometry-optimized Pm4Er3Al4 structure, from Alexandria via LeMat-Bulk.

Cell and atoms, written as CIF:
```
data_Pm4Er3Al4
_chemical_formula_sum 'Pm8 Er6 Al8'
_space_group_name_H-M_alt 'I m m m'
_space_group_IT_number 71
_space_group_name_Hall '-I 2 2'
_cell_length_a 3.510
_cell_length_b 9.180
_cell_length_c 18.705
_cell_angle_alpha 90.00
_cell_angle_beta 90.00
_cell_angle_gamma 90.00
loop_
_atom_site_label
_atom_site_fract_x
_atom_site_fract_y
_atom_site_fract_z
Pm1 0.000 0.177 0.164
Er1 0.000 0.000 0.407
Er2 0.000 0.500 0.500
Al1 0.000 0.280 0.000
Al2 0.000 0.500 0.224
```

Computed properties:
V: 602.7 Å³ per cell
energy of formation from the pure elements: -0.2248 eV per atom
density: 6.6 g cm⁻³

[3]
The following is a PBE calculation of a geometry-optimized PmEr5Al2 structure, from Alexandria via LeMat-Bulk.

Cell and atoms, written as CIF:
```
data_PmEr5Al2
_chemical_formula_sum 'Pm2 Er10 Al4'
_space_group_name_H-M_alt 'I m m m'
_space_group_IT_number 71
_space_group_name_Hall '-I 2 2'
_cell_length_a 3.540
_cell_length_b 10.148
_cell_length_c 12.438
_cell_angle_alpha 90.00
_cell_angle_beta 90.00
_cell_angle_gamma 90.00
loop_
_atom_site_label
_atom_site_fract_x
_atom_site_fract_y
_atom_site_fract_z
Pm1 0.000 0.000 0.000
Er1 0.000 0.225 0.363
Er2 0.000 0.500 0.000
Al1 0.000 0.500 0.257
```

Computed properties:
V: 446.9 Å³ per cell
energy of formation from the pure elements: -0.1033 eV per atom
density: 7.7 g cm⁻³